A relaxed Zr2TlAu crystal, computed with PBE.

Raw total energy (eV/atom): -5.953
Space group: No. 139
Energy relative to the elements (eV per formula unit): -1.07
Total magnetic moment (Bohr magnetons per cell): 0.00

a = 5.3032 Å, b = 5.3032 Å, c = 5.3032 Å
α = 130.14°, β = 130.14°, γ = 73.19°
Positions (direct):
Zr (0.2500, 0.7500, 0.5000)
Zr (0.7500, 0.2500, 0.5000)
Tl (0.0000, 0.0000, 0.0000)
Au (0.5000, 0.5000, 0.0000)

A relaxed Li2InMo crystal, computed with PBE.

Raw total energy (eV/atom): -3.681
Space group: No. 122
Energy relative to the elements (eV per formula unit): 2.67
Total magnetic moment (Bohr magnetons per cell): 5.67

a = 5.8626 Å, b = 5.8626 Å, c = 5.8626 Å
α = 102.96°, β = 102.96°, γ = 123.46°
Positions (direct):
Li (0.1230, 0.6250, 0.9980)
Li (0.3750, 0.3730, 0.4980)
Li (0.6270, 0.1250, 0.0020)
Li (0.8750, 0.8770, 0.5020)
In (0.0000, 0.0000, 0.0000)
In (0.7500, 0.2500, 0.5000)
Mo (0.2500, 0.7500, 0.5000)
Mo (0.5000, 0.5000, 0.0000)

A relaxed La2InGe2 crystal, computed with PBE.

Raw total energy (eV/atom): -4.804
Space group: No. 127
Energy relative to the elements (eV per formula unit): -2.19
Energy above the lowest structure with this stoichiometry (eV per atom): 0.333
Total magnetic moment (Bohr magnetons per cell): 0.00

a = 8.7554 Å, b = 8.7554 Å, c = 3.6662 Å
α = 90.00°, β = 90.00°, γ = 90.00°
Positions (direct):
La (0.1354, 0.3646, 0.0000)
La (0.3646, 0.8646, 0.0000)
La (0.6354, 0.1354, 0.0000)
La (0.8646, 0.6354, 0.0000)
In (0.0000, 0.0000, 0.0000)
In (0.5000, 0.5000, 0.0000)
Ge (0.1684, 0.6684, 0.5000)
Ge (0.3316, 0.1684, 0.5000)
Ge (0.6684, 0.8316, 0.5000)
Ge (0.8316, 0.3316, 0.5000)

A relaxed CoSnAs2Pb crystal, computed with PBE.

Raw total energy (eV/atom): -4.563
Space group: No. 123
Energy relative to the elements (eV per formula unit): 1.30
Total magnetic moment (Bohr magnetons per cell): 0.00

a = 4.5224 Å, b = 4.5224 Å, c = 5.6764 Å
α = 90.00°, β = 90.00°, γ = 90.00°
Positions (direct):
Co (0.0000, 0.0000, 0.0000)
Sn (0.5000, 0.5000, 0.5000)
As (0.0000, 0.5000, 0.0000)
As (0.5000, 0.0000, 0.0000)
Pb (0.0000, 0.0000, 0.5000)

A relaxed LuZnNiAg crystal, computed with PBE.

Raw total energy (eV/atom): -3.836
Space group: No. 216
Energy relative to the elements (eV per formula unit): -0.92
Total magnetic moment (Bohr magnetons per cell): 0.00

a = 4.5981 Å, b = 4.5981 Å, c = 4.5981 Å
α = 60.00°, β = 60.00°, γ = 60.00°
Positions (direct):
Lu (0.0000, 0.0000, 0.0000)
Zn (0.5000, 0.5000, 0.5000)
Ni (0.7500, 0.7500, 0.7500)
Ag (0.2500, 0.2500, 0.2500)

A relaxed LiEr3In4Te8 crystal, computed with PBE.

Raw total energy (eV/atom): -4.052
Space group: No. 166
Raw formation energy (eV per atom): -0.822
Total magnetic moment (Bohr magnetons per cell): 0.00

a = 9.1790 Å, b = 9.1790 Å, c = 9.1790 Å
α = 57.27°, β = 57.27°, γ = 57.27°
Positions (direct):
Li (0.0000, 0.0000, 0.0000)
Er (0.0000, 0.5000, 0.5000)
Er (0.5000, 0.0000, 0.5000)
Er (0.5000, 0.5000, 0.0000)
In (0.0000, 0.0000, 0.5000)
In (0.0000, 0.5000, 0.0000)
In (0.5000, 0.0000, 0.0000)
In (0.5000, 0.5000, 0.5000)
Te (0.2473, 0.2473, 0.7357)
Te (0.2473, 0.7357, 0.2473)
Te (0.2581, 0.2581, 0.2581)
Te (0.2643, 0.7527, 0.7527)
Te (0.7357, 0.2473, 0.2473)
Te (0.7419, 0.7419, 0.7419)
Te (0.7527, 0.2643, 0.7527)
Te (0.7527, 0.7527, 0.2643)

A relaxed PmSiNiPd crystal, computed with PBE.

Raw total energy (eV/atom): -5.703
Space group: No. 216
Raw formation energy (eV per atom): -0.416
Total magnetic moment (Bohr magnetons per cell): 0.00

a = 4.6096 Å, b = 4.6096 Å, c = 4.6096 Å
α = 60.00°, β = 60.00°, γ = 60.00°
Positions (direct):
Pm (0.0000, 0.0000, 0.0000)
Si (0.5000, 0.5000, 0.5000)
Ni (0.2500, 0.2500, 0.2500)
Pd (0.7500, 0.7500, 0.7500)

A relaxed Sm2TiGa3Rh4 crystal, computed with PBE.

Raw total energy (eV/atom): -6.367
Space group: No. 115
Energy relative to the elements (eV per formula unit): -7.85
Total magnetic moment (Bohr magnetons per cell): 0.00

a = 4.1881 Å, b = 4.1881 Å, c = 10.6182 Å
α = 90.00°, β = 90.00°, γ = 90.00°
Positions (direct):
Sm (0.0000, 0.5000, 0.2338)
Sm (0.5000, 0.0000, 0.7662)
Ti (0.0000, 0.0000, 0.5000)
Ga (0.0000, 0.5000, 0.8741)
Ga (0.5000, 0.0000, 0.1259)
Ga (0.5000, 0.5000, 0.5000)
Rh (0.0000, 0.0000, 0.0000)
Rh (0.0000, 0.5000, 0.6375)
Rh (0.5000, 0.0000, 0.3625)
Rh (0.5000, 0.5000, 0.0000)

A relaxed Cs2HoCuF6 crystal, computed with PBE.

Raw total energy (eV/atom): -5.120
Space group: No. 69
Raw formation energy (eV per atom): -2.959
Total magnetic moment (Bohr magnetons per cell): 0.07

a = 6.9980 Å, b = 6.4393 Å, c = 6.4195 Å
α = 65.94°, β = 57.16°, γ = 56.89°
Positions (direct):
Cs (0.2500, 0.2500, 0.2500)
Cs (0.7500, 0.7500, 0.7500)
Ho (0.0000, 0.0000, 0.0000)
Cu (0.5000, 0.5000, 0.5000)
F (0.2175, 0.2175, 0.7825)
F (0.2186, 0.7814, 0.2186)
F (0.2691, 0.7309, 0.7309)
F (0.7309, 0.2691, 0.2691)
F (0.7814, 0.2186, 0.7814)
F (0.7825, 0.7825, 0.2175)

A relaxed NaAc3Ge4 crystal, computed with PBE.

Raw total energy (eV/atom): -4.518
Space group: No. 71
Energy relative to the elements (eV per formula unit): -4.03
Total magnetic moment (Bohr magnetons per cell): 0.00

a = 9.4557 Å, b = 9.4557 Å, c = 9.4557 Å
α = 152.65°, β = 139.08°, γ = 49.92°
Positions (direct):
Na (0.0000, 0.0000, 0.0000)
Ac (0.1933, 0.6933, 0.5000)
Ac (0.5000, 0.5000, 0.0000)
Ac (0.8067, 0.3067, 0.5000)
Ge (0.1845, 0.8705, 0.3140)
Ge (0.4434, 0.1295, 0.3140)
Ge (0.5566, 0.8705, 0.6860)
Ge (0.8155, 0.1295, 0.6860)